{
  "formula": "RbNa2MgAu",
  "functional": "PBE",
  "state": "optimized geometry",
  "cell": [[5.8027, 0.0000, 0.0000], [0.0000, 5.8027, 0.0000], [0.0000, 0.0000, 5.3864]],
  "species": ["Rb", "Na", "Na", "Mg", "Au"],
  "frac_coords": [[0.0000, 0.0000, 0.0000], [0.0000, 0.5000, 0.5000], [0.5000, 0.0000, 0.5000], [0.5000, 0.5000, 0.0000], [0.5000, 0.5000, 0.5000]],
  "e_form_kj_per_mol_fu": -57,
  "mass_density_g_cm3": 3.2
}

{
  "formula": "CuGe3S4",
  "functional": "PBE",
  "state": "optimized geometry",
  "cell": [[9.9927, 0.0000, 0.0000], [0.0000, 5.6689, 0.0000], [0.0000, 0.0000, 5.6605]],
  "species": ["Cu", "Cu", "Ge", "Ge", "Ge", "Ge", "Ge", "Ge", "S", "S", "S", "S", "S", "S", "S", "S"],
  "frac_coords": [[0.0000, 0.1839, 0.0000], [0.5000, 0.8161, 0.5000], [0.0000, 0.7891, 0.5420], [0.2498, 0.2897, 0.5369], [0.2502, 0.7103, 0.0369], [0.5000, 0.2109, 0.0420], [0.7502, 0.2897, 0.5369], [0.7498, 0.7103, 0.0369], [0.0000, 0.2328, 0.5972], [0.0000, 0.7885, 0.1016], [0.2290, 0.2899, 0.1039], [0.2710, 0.7101, 0.6039], [0.5000, 0.2115, 0.6016], [0.5000, 0.7672, 0.0972], [0.7290, 0.7101, 0.6039], [0.7710, 0.2899, 0.1039]],
  "formation_energy_uncorrected_ev_per_atom": -0.1759,
  "mass_density_g_cm3": 4.2
}

{
  "formula": "TlIn2PtI",
  "functional": "PBE",
  "state": "optimized geometry",
  "cell": [[5.2913, 0.0000, 0.0000], [0.0000, 5.2913, 0.0000], [0.0000, 0.0000, 5.4660]],
  "species": ["Tl", "In", "In", "Pt", "I"],
  "frac_coords": [[0.0000, 0.0000, 0.0000], [0.0000, 0.5000, 0.5000], [0.5000, 0.0000, 0.5000], [0.0000, 0.0000, 0.5000], [0.5000, 0.5000, 0.0000]],
  "formation_energy_uncorrected_ev_per_atom": -0.4041,
  "mass_density_g_cm3": 8.2
}

{
  "formula": "UPdW",
  "functional": "PBE",
  "state": "optimized geometry",
  "cell": [[14.8635, 0.0000, 0.0000], [0.0000, 1.4141, 2.5140], [0.0000, -1.4141, 2.5140]],
  "species": ["U", "U", "Pd", "Pd", "W", "W"],
  "frac_coords": [[0.1749, 0.0000, 0.0000], [0.8251, 0.0000, 0.0000], [0.3514, 0.6263, 0.6263], [0.6486, 0.6263, 0.6263], [0.0000, 0.7869, 0.7869], [0.5000, 0.9565, 0.9565]],
  "e_form_kj_per_mol_fu": 55,
  "mass_density_g_cm3": 16.6
}

{
  "formula": "Pm2MgMnS5",
  "functional": "PBE",
  "state": "optimized geometry",
  "cell": [[1.9627, -8.2363, 0.0000], [1.9627, 8.2363, 0.0000], [0.0000, 0.0000, 11.5531]],
  "species": ["Pm", "Pm", "Pm", "Pm", "Mg", "Mg", "Mn", "Mn", "S", "S", "S", "S", "S", "S", "S", "S", "S", "S"],
  "frac_coords": [[0.1125, 0.8875, 0.5000], [0.1322, 0.8678, 0.1162], [0.8678, 0.1322, 0.6162], [0.8875, 0.1125, 0.0000], [0.2062, 0.7938, 0.8271], [0.7938, 0.2062, 0.3271], [0.4435, 0.5565, 0.2700], [0.5565, 0.4435, 0.7700], [0.0501, 0.9499, 0.8792], [0.2861, 0.7139, 0.4782], [0.3122, 0.6878, 0.1693], [0.3584, 0.6416, 0.8134], [0.4961, 0.5039, 0.5884], [0.5039, 0.4961, 0.0884], [0.6416, 0.3584, 0.3134], [0.6878, 0.3122, 0.6693], [0.7139, 0.2861, 0.9782], [0.9499, 0.0501, 0.3792]],
  "formation_energy_uncorrected_ev_per_atom": -1.5616,
  "mass_density_g_cm3": 4.7
}

{
  "formula": "CaIO4F",
  "functional": "PBE",
  "state": "optimized geometry",
  "cell": [[4.6445, -3.8384, 0.0000], [4.6445, 3.8384, 0.0000], [-2.0734, 0.0000, 7.0710]],
  "species": ["Ca", "Ca", "I", "I", "O", "O", "O", "O", "O", "O", "O", "O", "F", "F"],
  "frac_coords": [[0.1859, 0.1859, 0.1307], [0.8141, 0.8141, 0.8693], [0.3480, 0.3480, 0.7219], [0.6520, 0.6520, 0.2781], [0.1344, 0.5014, 0.8580], [0.2225, 0.2225, 0.4880], [0.4604, 0.4604, 0.2831], [0.4986, 0.8656, 0.1420], [0.5014, 0.1344, 0.8580], [0.5396, 0.5396, 0.7169], [0.7775, 0.7775, 0.5120], [0.8656, 0.4986, 0.1420], [0.0406, 0.0406, 0.8392], [0.9594, 0.9594, 0.1608]],
  "formation_energy_uncorrected_ev_per_atom": -1.3148,
  "mass_density_g_cm3": 3.3
}

{
  "formula": "BeAlCd2",
  "functional": "PBE",
  "state": "optimized geometry",
  "cell": [[4.2114, -1.4386, 0.0000], [4.2114, 1.4386, 0.0000], [-2.2057, 0.0000, 6.3069]],
  "species": ["Be", "Al", "Cd", "Cd"],
  "frac_coords": [[0.0000, 0.0000, 0.0000], [0.2753, 0.2753, 0.9954], [0.4654, 0.4654, 0.6485], [0.6588, 0.6588, 0.3468]],
  "e_form_kj_per_mol_fu": 98,
  "de_polymorph_mev_per_atom": 40.3,
  "mass_density_g_cm3": 5.7
}

| no. | density of states at the Fermi level (states/eV per cell) |
| --- | --- |
| 1 | 2.6 |
| 2 | 8.5 |
| 3 | 1.0 |
| 4 | 9.1 |
| 5 | 0.5 |
| 6 | 0.0 |
| 7 | 0.7 |